Record 1
First-principles (PBE) data for a geometry-optimized AgBN structure, as listed in Alexandria.

Computed properties:
Uncorrected energy = -6.558 eV per atom
E_form (uncorrected) = -0.607 eV per atom
Density = 4.94 g/cm³

a = 4.503 Å, b = 2.600 Å, c = 15.283 Å
α = 90.00°, β = 93.63°, γ = 90.00°
Space group C2/m (No. 12)
Unique sites:
1 Ag 0.187 0.000 0.090 x4
2 B 0.197 0.500 0.630 x4
3 N 0.136 0.500 0.370 x4

***

Record 2
First-principles (PBE) data for a geometry-optimized DyTh5Pb4 structure, as listed in Alexandria.

Computed properties:
Formation energy from the elements = -0.25 eV/atom
Uncorrected energy = -5.908 eV per atom
Density = 11.75 g/cm³

a = 16.406 Å, b = 5.622 Å, c = 6.824 Å
α = 90.00°, β = 105.02°, γ = 90.00°
Space group C2/m (No. 12)
Unique sites:
1 Dy 0.000 0.000 0.000 x2
2 Th 0.000 0.000 0.500 x2
3 Th 0.117 0.500 0.386 x4
4 Th 0.203 0.000 0.816 x4
5 Pb 0.086 0.500 0.850 x4
6 Pb 0.190 0.000 0.297 x4

***

Record 3
First-principles (PBE) data for a geometry-optimized NpCdNi2 structure, as listed in Alexandria.

Computed properties:
Formation energy from the elements = 0.09 eV/atom
Uncorrected energy = -6.260 eV per atom
Density = 12.03 g/cm³

a = 2.972 Å, b = 2.972 Å, c = 7.295 Å
α = 90.00°, β = 90.00°, γ = 90.00°
Space group P4/mmm (No. 123)
Unique sites:
1 Np 0.000 0.000 0.000 x1
2 Cd 0.000 0.000 0.500 x1
3 Ni 0.500 0.500 0.251 x2

***

Record 4
First-principles (PBE) data for a geometry-optimized Pa2Au2O7 structure, as listed in Alexandria.

Computed properties:
Uncorrected energy = -7.561 eV per atom
E_form (uncorrected) = -2.083 eV per atom
Density = 7.80 g/cm³

a = 6.847 Å, b = 9.548 Å, c = 6.334 Å
α = 90.00°, β = 95.27°, γ = 90.00°
Space group C2 (No. 5)
Unique sites:
1 Pa 0.000 0.000 0.000 x2
2 Pa 0.000 0.357 0.000 x2
3 Au 0.105 0.679 0.334 x4
4 O 0.000 0.527 0.500 x2
5 O 0.089 0.182 0.184 x4
6 O 0.203 0.844 0.157 x4
7 O 0.213 0.513 0.139 x4